VASP calculation (meta-GGA SCAN) on YSn2IrSe at its PBEsol-relaxed geometry.

Summary:
**Spin magnetization**: 0.00 μB/f.u.
**Formation energy from raw total energies**: 5.818 eV per formula unit

extended XYZ file:
```
5
Lattice="5.7291 0.0000 0.0000 0.0000 5.7291 0.0000 0.0000 0.0000 4.7882" Properties=species:S:1:pos:R:3 pbc="T T T"
Y 0.0000 0.0000 0.0000
Sn 0.0000 2.8645 0.0000
Sn 2.8645 0.0000 0.0000
Ir 0.0000 0.0000 2.3941
Se 2.8645 2.8645 2.3941
```